[1]
VASP calculation (PBE) on an optimized crystal structure of As5Os.

The structure belongs to space group F-43m (No. 216); the cell edges are 7.655, 7.655 and 7.655 Å and the angles 90.00°, 90.00° and 90.00°. The inequivalent atoms are As at (0.000, 0.000, 0.000), As at (0.126, 0.126, 0.626) and Os at (0.250, 0.250, 0.250).

As for the crystal system: cubic. The energy above the most stable polymorph in this dataset is 6.04 eV per formula unit.

---

[2]
VASP calculation (PBE) on an optimized crystal structure of As3Os.

The structure belongs to space group R-3m (No. 166, hexagonal axes); the cell edges are 7.3816, 7.3816 and 4.4905 Å and the angles 90.00°, 90.00° and 120.00°. The inequivalent atoms are As at (0.0000, 0.5000, 0.0000) and Os at (0.0000, 0.0000, 0.0000).

As for the crystal system: trigonal. The energy above the most stable polymorph in this dataset is 1.50 eV per formula unit.

---

[3]
VASP calculation (PBE) on an optimized crystal structure of As2Os.

The structure belongs to space group C2/m (No. 12); the cell edges are 13.064, 3.087 and 6.251 Å and the angles 90.00°, 118.12° and 90.00°. The inequivalent atoms are As at (0.088, 0.000, 0.396), As at (0.142, 0.500, 0.950) and Os at (0.244, 0.500, 0.690).

As for the crystal system: monoclinic. The calculation puts the final energy at -82.0 eV/cell.

---

[4]
VASP calculation (PBE) on an optimized crystal structure of AsOs5.

The structure belongs to space group Amm2 (No. 38); the cell edges are 4.339, 2.804 and 14.411 Å and the angles 90.00°, 90.00° and 90.00°. The inequivalent atoms are As at (0.000, 0.000, 0.000), Os at (0.000, 0.000, 0.324), Os at (0.000, 0.000, 0.668), Os at (0.500, 0.000, 0.215), Os at (0.500, 0.000, 0.553) and Os at (0.500, 0.000, 0.887).

As for the crystal system: orthorhombic. The energy above the most stable polymorph in this dataset is 0.44 eV per formula unit.

---

[5]
VASP calculation (PBE) on an optimized crystal structure of As3Os.

The structure belongs to space group Cmmm (No. 65); the cell edges are 4.573, 9.044 and 4.011 Å and the angles 90.00°, 90.00° and 90.00°. The inequivalent atoms are As at (0.000, 0.000, 0.000), As at (0.000, 0.323, 0.500) and Os at (0.000, 0.500, 0.000).

As for the crystal system: orthorhombic. The energy above the most stable polymorph in this dataset is 0.00 eV per formula unit.

---

[6]
VASP calculation (PBE) on an optimized crystal structure of AsOs7.

The structure belongs to space group Fm-3m (No. 225); the cell edges are 7.743, 7.743 and 7.743 Å and the angles 90.00°, 90.00° and 90.00°. The inequivalent atoms are As at (0.000, 0.000, 0.000), Os at (0.000, 0.000, 0.500) and Os at (0.000, 0.250, 0.250).

As for the crystal system: cubic. The calculation puts the final energy at -319.0 eV/cell.

---

[7]
VASP calculation (PBE) on an optimized crystal structure of As3Os.

The structure belongs to space group P6_3/mmc (No. 194); the cell edges are 7.8605, 7.8605 and 2.9970 Å and the angles 90.00°, 90.00° and 120.00°. The inequivalent atoms are As at (0.1857, 0.3715, 0.2500) and Os at (0.3333, 0.6667, 0.7500).

As for the crystal system: hexagonal. The energy above the most stable polymorph in this dataset is 0.67 eV per formula unit.

---

[8]
VASP calculation (PBE) on an optimized crystal structure of As2Os.

The structure belongs to space group Cmcm (No. 63); the cell edges are 2.989, 16.268 and 4.683 Å and the angles 90.00°, 90.00° and 90.00°. The inequivalent atoms are As at (0.000, 0.097, 0.250), As at (0.000, 0.359, 0.250) and Os at (0.000, 0.274, 0.750).

As for the crystal system: orthorhombic. The calculation puts the final energy at -78.4 eV/cell.

---

[9]
VASP calculation (PBE) on an optimized crystal structure of As2Os.

The structure belongs to space group I4_1/amd (No. 141, origin choice 2); the cell edges are 2.989, 2.989 and 24.908 Å and the angles 90.00°, 90.00° and 90.00°. The inequivalent atoms are As at (0.000, 0.250, 0.311) and Os at (0.000, 0.250, 0.875).

As for the crystal system: tetragonal. The calculation puts the final energy at -80.4 eV/cell.

---

[10]
VASP calculation (PBE) on an optimized crystal structure of AsOs2.

The structure belongs to space group P6_3/mmc (No. 194); the cell edges are 4.2917, 4.2917 and 5.5590 Å and the angles 90.00°, 90.00° and 120.00°. The inequivalent atoms are As at (0.3333, 0.6667, 0.2500), Os at (0.0000, 0.0000, 0.0000) and Os at (0.3333, 0.6667, 0.7500).

As for the crystal system: hexagonal. The calculation puts the final energy at -50.1 eV/cell.

---

[11]
VASP calculation (PBE) on an optimized crystal structure of As2Os.

The structure belongs to space group Immm (No. 71); the cell edges are 3.070, 3.902 and 8.139 Å and the angles 90.00°, 90.00° and 90.00°. The inequivalent atoms are As at (0.000, 0.000, 0.160) and Os at (0.000, 0.000, 0.500).

As for the crystal system: orthorhombic. The calculation puts the final energy at -37.7 eV/cell.

---

[12]
VASP calculation (PBE) on an optimized crystal structure of As7Os.

The structure belongs to space group Fm-3m (No. 225); the cell edges are 8.339, 8.339 and 8.339 Å and the angles 90.00°, 90.00° and 90.00°. The inequivalent atoms are As at (0.000, 0.000, 0.000), As at (0.000, 0.250, 0.250) and Os at (0.000, 0.000, 0.500).

As for the crystal system: cubic. The calculation puts the final energy at -153.8 eV/cell.

---

[13]
VASP calculation (PBE) on an optimized crystal structure of As3Os.

The structure belongs to space group P4/mmm (No. 123); the cell edges are 4.670, 4.670 and 3.061 Å and the angles 90.00°, 90.00° and 90.00°. The inequivalent atoms are As at (0.000, 0.000, 0.000), As at (0.000, 0.500, 0.500) and Os at (0.500, 0.500, 0.000).

As for the crystal system: tetragonal. The energy above the most stable polymorph in this dataset is 2.36 eV per formula unit.

---

[14]
VASP calculation (PBE) on an optimized crystal structure of As2Os.

The structure belongs to space group P6/mmm (No. 191); the cell edges are 4.5770, 4.5770 and 2.7805 Å and the angles 90.00°, 90.00° and 120.00°. The inequivalent atoms are As at (0.3333, 0.6667, 0.0000) and Os at (0.0000, 0.0000, 0.5000).

As for the crystal system: hexagonal. The calculation puts the final energy at -17.4 eV/cell.

---

[15]
VASP calculation (PBE) on an optimized crystal structure of As3Os.

The structure belongs to space group Imm2 (No. 44); the cell edges are 3.898, 7.718 and 4.880 Å and the angles 90.00°, 90.00° and 90.00°. The inequivalent atoms are As at (0.000, 0.000, 0.000), As at (0.000, 0.184, 0.582) and Os at (0.000, 0.500, 0.809).

As for the crystal system: orthorhombic. The energy above the most stable polymorph in this dataset is 0.56 eV per formula unit.

---

[16]
VASP calculation (PBE) on an optimized crystal structure of As3Os.

The structure belongs to space group Pmm2 (No. 25); the cell edges are 3.056, 3.959 and 6.319 Å and the angles 90.00°, 90.00° and 90.00°. The inequivalent atoms are As at (0.000, 0.000, 0.000), As at (0.000, 0.500, 0.255), As at (0.500, 0.000, 0.611) and Os at (0.500, 0.500, 0.901).

As for the crystal system: orthorhombic. The energy above the most stable polymorph in this dataset is 1.37 eV per formula unit.

---

[17]
VASP calculation (PBE) on an optimized crystal structure of AsOs2.

The structure belongs to space group Cm (No. 8); the cell edges are 9.584, 2.873 and 7.517 Å and the angles 90.00°, 116.53° and 90.00°. The inequivalent atoms are As at (0.000, 0.000, 0.000), As at (0.079, 0.500, 0.396), Os at (0.212, 0.500, 0.972), Os at (0.247, 0.000, 0.678), Os at (0.286, 0.000, 0.330) and Os at (0.468, 0.500, 0.657).

As for the crystal system: monoclinic. The calculation puts the final energy at -104.1 eV/cell.

---

[18]
VASP calculation (PBE) on an optimized crystal structure of As3Os.

The structure belongs to space group C2/m (No. 12); the cell edges are 7.197, 2.965 and 8.234 Å and the angles 90.00°, 106.98° and 90.00°. The inequivalent atoms are As at (0.000, 0.000, 0.000), As at (0.149, 0.000, 0.328) and Os at (0.000, 0.500, 0.500).

As for the crystal system: monoclinic. The energy above the most stable polymorph in this dataset is 0.72 eV per formula unit.

---

[19]
VASP calculation (PBE) on an optimized crystal structure of AsOs4.

The structure belongs to space group Im-3m (No. 229); the cell edges are 5.563, 5.563 and 5.563 Å and the angles 90.00°, 90.00° and 90.00°. The inequivalent atoms are As at (0.000, 0.000, 0.000) and Os at (0.250, 0.250, 0.250).

As for the crystal system: cubic. The energy above the most stable polymorph in this dataset is 0.00 eV per formula unit.

---

[20]
VASP calculation (PBE) on an optimized crystal structure of As2Os.

The structure belongs to space group Pnnm (No. 58); the cell edges are 5.472, 6.253 and 3.051 Å and the angles 90.00°, 90.00° and 90.00°. The inequivalent atoms are As at (0.171, 0.135, 0.000) and Os at (0.000, 0.500, 0.000).

As for the crystal system: orthorhombic. The calculation puts the final energy at -42.4 eV/cell.

---

[21]
VASP calculation (PBE) on an optimized crystal structure of As3Os.

The structure belongs to space group Cmmm (No. 65); the cell edges are 2.933, 4.999 and 9.747 Å and the angles 90.00°, 90.00° and 90.00°. The inequivalent atoms are As at (0.000, 0.000, 0.000), As at (0.000, 0.500, 0.284) and Os at (0.000, 0.000, 0.500).

As for the crystal system: orthorhombic. The energy above the most stable polymorph in this dataset is 1.53 eV per formula unit.

---

[22]
VASP calculation (PBE) on an optimized crystal structure of AsOs2.

The structure belongs to space group C2/m (No. 12); the cell edges are 10.569, 2.847 and 6.802 Å and the angles 90.00°, 115.76° and 90.00°. The inequivalent atoms are As at (0.046, 0.000, 0.314), Os at (0.139, 0.500, 0.984) and Os at (0.218, 0.500, 0.651).

As for the crystal system: monoclinic. The calculation puts the final energy at -103.6 eV/cell.

---

[23]
VASP calculation (PBE) on an optimized crystal structure of As3Os.

The structure belongs to space group P4/mmm (No. 123); the cell edges are 2.947, 2.947 and 8.524 Å and the angles 90.00°, 90.00° and 90.00°. The inequivalent atoms are As at (0.000, 0.000, 0.000), As at (0.500, 0.500, 0.310) and Os at (0.000, 0.000, 0.500).

As for the crystal system: tetragonal. The energy above the most stable polymorph in this dataset is 0.69 eV per formula unit.

---

[24]
VASP calculation (PBE) on an optimized crystal structure of As3Os.

The structure belongs to space group Pm-3m (No. 221); the cell edges are 4.865, 4.865 and 4.865 Å and the angles 90.00°, 90.00° and 90.00°. The inequivalent atoms are As at (0.000, 0.000, 0.500) and Os at (0.000, 0.000, 0.000).

As for the crystal system: cubic. The energy above the most stable polymorph in this dataset is 3.29 eV per formula unit.

---

[25]
VASP calculation (PBE) on an optimized crystal structure of As2Os.

The structure belongs to space group P6_3/mmc (No. 194); the cell edges are 5.0288, 5.0288 and 10.5884 Å and the angles 90.00°, 90.00° and 120.00°. The inequivalent atoms are As at (0.0000, 0.0000, 0.0000), As at (0.1609, 0.3218, 0.2500) and Os at (0.3333, 0.6667, 0.0647).

As for the crystal system: hexagonal. The calculation puts the final energy at -71.7 eV/cell.

---

[26]
VASP calculation (PBE) on an optimized crystal structure of AsOs5.

The structure belongs to space group Cm (No. 8); the cell edges are 10.037, 2.807 and 6.546 Å and the angles 90.00°, 107.27° and 90.00°. The inequivalent atoms are As at (0.000, 0.000, 0.000), Os at (0.041, 0.000, 0.630), Os at (0.145, 0.500, 0.336), Os at (0.243, 0.500, 0.961), Os at (0.312, 0.000, 0.662) and Os at (0.365, 0.000, 0.304).

As for the crystal system: monoclinic. The energy above the most stable polymorph in this dataset is 0.00 eV per formula unit.

---

[27]
VASP calculation (PBE) on an optimized crystal structure of As5Os.

The structure belongs to space group Cmmm (No. 65); the cell edges are 3.915, 14.047 and 4.736 Å and the angles 90.00°, 90.00° and 90.00°. The inequivalent atoms are As at (0.000, 0.000, 0.000), As at (0.000, 0.307, 0.000), As at (0.000, 0.386, 0.500) and Os at (0.000, 0.000, 0.500).

As for the crystal system: orthorhombic. The energy above the most stable polymorph in this dataset is 0.00 eV per formula unit.

---

[28]
VASP calculation (PBE) on an optimized crystal structure of As2Os.

The structure belongs to space group I4/mcm (No. 140); the cell edges are 5.900, 5.900 and 5.762 Å and the angles 90.00°, 90.00° and 90.00°. The inequivalent atoms are As at (0.156, 0.344, 0.000) and Os at (0.000, 0.000, 0.250).

As for the crystal system: tetragonal. The calculation puts the final energy at -79.4 eV/cell.

---

Number 1: mass density 8.36 g/cm³. Number 2: mass density 9.76 g/cm³. Number 3: mass density 10.16 g/cm³. Number 4: mass density 19.43 g/cm³. Number 5: mass density 8.31 g/cm³. Number 6: mass density 20.12 g/cm³. Number 7: mass density 8.59 g/cm³. Number 8: mass density 9.92 g/cm³. Number 9: mass density 10.15 g/cm³. Number 10: mass density 17.06 g/cm³. Number 11: mass density 11.58 g/cm³. Number 12: mass density 8.19 g/cm³. Number 13: mass density 10.32 g/cm³. Number 14: mass density 11.19 g/cm³. Number 15: mass density 9.39 g/cm³. Number 16: mass density 9.01 g/cm³. Number 17: mass density 16.33 g/cm³. Number 18: mass density 8.20 g/cm³. Number 19: mass density 16.12 g/cm³. Number 20: mass density 10.82 g/cm³. Number 21: mass density 9.64 g/cm³. Number 22: mass density 16.40 g/cm³. Number 23: mass density 9.31 g/cm³. Number 24: mass density 5.99 g/cm³. Number 25: mass density 9.74 g/cm³. Number 26: mass density 19.35 g/cm³. Number 27: mass density 7.20 g/cm³. Number 28: mass density 11.26 g/cm³.